# 1
The following is a DFT calculation (PBE) of NdEr6Te8 after structural relaxation.

Cell: 8.6243 8.6243 8.6243 Å, 60.00 60.00 60.00°
With the nearest neighbours (Å) after each atom.
Atoms (fractional coordinates):
Nd1 0.0000 0.0000 0.0000  6 Te 3.20
Er1 0.0000 0.0000 0.5000  6 Te 3.05
Er2 0.0000 0.5000 0.0000  6 Te 3.05
Er3 0.0000 0.5000 0.5000  6 Te 3.05
Er4 0.5000 0.0000 0.0000  6 Te 3.05
Er5 0.5000 0.0000 0.5000  6 Te 3.05
Er6 0.5000 0.5000 0.0000  6 Te 3.05
Te1 0.2500 0.2500 0.2500  6 Er 3.05
Te2 0.2626 0.2626 0.7374  4 Er 3.05, 1 Nd 3.20
Te3 0.2626 0.7374 0.2626  4 Er 3.05, 1 Nd 3.20
Te4 0.2626 0.7374 0.7374  4 Er 3.05, 1 Nd 3.20
Te5 0.7374 0.2626 0.2626  4 Er 3.05, 1 Nd 3.20
Te6 0.7374 0.2626 0.7374  4 Er 3.05, 1 Nd 3.20
Te7 0.7374 0.7374 0.2626  4 Er 3.05, 1 Nd 3.20
Te8 0.7500 0.7500 0.7500  6 Er 3.05

Summary:
DFT total energy	-5.143	eV per atom
calculated volume	30.2	Å³ per atom

=====

# 2
The following is a DFT calculation (PBE) of Nd4Er3Te8 after structural relaxation.

Cell: 8.7972 8.7972 8.7921 Å, 119.94 119.94 90.05°
With the nearest neighbours (Å) after each atom.
Atoms (fractional coordinates):
Nd1 0.0000 0.0000 0.0000  6 Te 3.17
Nd2 0.0000 0.0000 0.5000  6 Te 3.22-3.23
Nd3 0.0000 0.5000 0.0000  6 Te 3.11
Nd4 0.5000 0.0000 0.0000  6 Te 3.11
Er1 0.0000 0.5000 0.5000  6 Te 3.11
Er2 0.5000 0.0000 0.5000  6 Te 3.11
Er3 0.5000 0.5000 0.0000  6 Te 3.05-3.06
Te1 0.2548 0.7452 0.0000  3 Er 3.05-3.11, 3 Nd 3.11-3.17
Te2 0.2592 0.7408 0.5000  2 Er 3.11, 3 Nd 3.11-3.23
Te3 0.2639 0.2639 0.0181  1 Er 3.05, 4 Nd 3.11-3.23
Te4 0.2640 0.2640 0.5094  3 Er 3.06-3.11, 2 Nd 3.17-3.22
Te5 0.7360 0.7360 0.4906  3 Er 3.06-3.11, 2 Nd 3.17-3.22
Te6 0.7361 0.7361 0.9819  1 Er 3.05, 4 Nd 3.11-3.23
Te7 0.7408 0.2592 0.5000  2 Er 3.11, 3 Nd 3.11-3.23
Te8 0.7452 0.2548 0.0000  3 Er 3.05-3.11, 3 Nd 3.11-3.17

Summary:
DFT total energy	-5.242	eV per atom
calculated volume	32.1	Å³ per atom

=====

# 3
The following is a DFT calculation (PBE) of NdErTe2 after structural relaxation.

Cell: 7.8145 7.8145 7.8145 Å, 32.32 32.32 32.32°
With the nearest neighbours (Å) after each atom.
Atoms (fractional coordinates):
Nd1 0.0000 0.0000 0.0000  6 Te 3.19
Er1 0.5000 0.5000 0.5000  6 Te 3.05
Te1 0.2448 0.2448 0.2448  3 Er 3.05, 3 Nd 3.19
Te2 0.7552 0.7552 0.7552  3 Er 3.05, 3 Nd 3.19

Summary:
DFT total energy	-5.228	eV per atom
calculated volume	30.3	Å³ per atom

=====

# 4
The following is a DFT calculation (PBE) of Nd2Er5Te4 after structural relaxation.

Cell: 11.2986 11.2986 7.6918 Å, 93.64 93.64 20.07°
With the nearest neighbours (Å) after each atom.
Atoms (fractional coordinates):
Nd1 0.0638 0.0638 0.1266  5 Er 3.28-3.64, 4 Te 3.31-3.46, 1 Nd 3.34
Nd2 0.9362 0.9362 0.8734  5 Er 3.28-3.64, 4 Te 3.31-3.46, 1 Nd 3.34
Er1 0.0000 0.0000 0.5000  4 Te 3.13, 2 Nd 3.28
Er2 0.3172 0.3172 0.0092  4 Te 3.06-3.13
Er3 0.3515 0.3515 0.5430  4 Te 3.12-3.30
Er4 0.6485 0.6485 0.4570  4 Te 3.12-3.30
Er5 0.6828 0.6828 0.9908  4 Te 3.06-3.13
Te1 0.2216 0.2216 0.7042  6 Er 3.06-3.22
Te2 0.4423 0.4423 0.2197  4 Er 3.13-3.30, 4 Nd 3.31-3.46
Te3 0.5577 0.5577 0.7803  4 Er 3.13-3.30, 4 Nd 3.31-3.46
Te4 0.7784 0.7784 0.2958  6 Er 3.06-3.22

Summary:
DFT total energy	-4.859	eV per atom
calculated volume	30.6	Å³ per atom

=====

# 5
The following is a DFT calculation (PBE) of NdEr4Te5 after structural relaxation.

Cell: 15.9402 15.9402 15.9402 Å, 164.41 164.41 22.12°
With the nearest neighbours (Å) after each atom.
Atoms (fractional coordinates):
Nd1 0.0000 0.0000 0.0000  6 Te 3.06-3.30
Er1 0.2093 0.2093 0.0000  6 Te 3.03-3.25
Er2 0.4059 0.4059 0.0000  6 Te 2.94-3.12
Er3 0.5941 0.5941 0.0000  6 Te 2.94-3.12
Er4 0.7907 0.7907 0.0000  6 Te 3.03-3.25
Te1 0.1055 0.1055 0.0000  5 Er 3.08-3.25, 1 Nd 3.30
Te2 0.3061 0.3061 0.0000  6 Er 3.03-3.12
Te3 0.5000 0.5000 0.0000  2 Er 2.94, 4 Nd 3.06
Te4 0.6939 0.6939 0.0000  6 Er 3.03-3.12
Te5 0.8945 0.8945 0.0000  5 Er 3.08-3.25, 1 Nd 3.30

Summary:
DFT total energy	-5.125	eV per atom
calculated volume	29.3	Å³ per atom

=====

# 6
The following is a DFT calculation (PBE) of Nd3Er2Te6 after structural relaxation.

Cell: 22.2384 22.2384 22.2384 Å, 11.37 11.37 11.37°
With the nearest neighbours (Å) after each atom.
Atoms (fractional coordinates):
Nd1 0.0000 0.0000 0.0000  6 Te 3.17
Nd2 0.2769 0.2769 0.2769  6 Te 3.15-3.22
Nd3 0.7231 0.7231 0.7231  6 Te 3.15-3.22
Er1 0.4488 0.4488 0.4488  6 Te 2.98-3.19
Er2 0.5512 0.5512 0.5512  6 Te 2.98-3.19
Te1 0.0864 0.0864 0.0864  3 Er 3.19, 3 Nd 3.22
Te2 0.1945 0.1945 0.1945  3 Er 2.98
Te3 0.3618 0.3618 0.3618  6 Nd 3.15-3.17
Te4 0.6382 0.6382 0.6382  6 Nd 3.15-3.17
Te5 0.8055 0.8055 0.8055  3 Er 2.98
Te6 0.9136 0.9136 0.9136  3 Er 3.19, 3 Nd 3.22

Summary:
DFT total energy	-5.214	eV per atom
calculated volume	33.7	Å³ per atom

=====

# 7
The following is a DFT calculation (PBE) of Nd3ErTe after structural relaxation.

Cell: 6.5189 5.8343 9.0108 Å, 90.00 106.13 90.00°
With the nearest neighbours (Å) after each atom.
Atoms (fractional coordinates):
Nd1 0.1856 0.2500 0.4916  1 Te 3.18, 2 Er 3.45
Nd2 0.2650 0.7500 0.2443  3 Te 3.28-3.54, 2 Nd 3.57-3.61, 2 Er 3.66
Nd3 0.2990 0.2500 0.9295  3 Te 3.25-3.32, 1 Er 3.53, 2 Nd 3.57-3.61
Nd4 0.7010 0.7500 0.0705  3 Te 3.25-3.32, 1 Er 3.53, 2 Nd 3.57-3.61
Nd5 0.7350 0.2500 0.7557  3 Te 3.28-3.54, 2 Nd 3.57-3.61, 2 Er 3.66
Nd6 0.8144 0.7500 0.5084  1 Te 3.18, 2 Er 3.45
Er1 0.3832 0.7500 0.6825  1 Te 3.12, 2 Nd 3.45
Er2 0.6168 0.2500 0.3175  1 Te 3.12, 2 Nd 3.45
Te1 0.0452 0.7500 0.8695  1 Er 3.12, 5 Nd 3.18-3.32
Te2 0.9548 0.2500 0.1305  1 Er 3.12, 5 Nd 3.18-3.32

Summary:
DFT total energy	-4.820	eV per atom
calculated volume	32.9	Å³ per atom

=====

# 8
The following is a DFT calculation (PBE) of NdErTe after structural relaxation.

Cell: 5.1987 5.1987 4.0351 Å, 90.00 90.00 120.00°
With the nearest neighbours (Å) after each atom.
Atoms (fractional coordinates):
Nd1 0.0000 0.0000 0.0000  3 Te 3.31, 6 Er 3.60-3.64
Er1 0.3333 0.6667 0.5082  3 Te 3.06
Te1 0.6667 0.3333 0.6538  3 Er 3.06, 3 Nd 3.31

Summary:
DFT total energy	-4.654	eV per atom
calculated volume	31.5	Å³ per atom

=====

# 9
The following is a DFT calculation (PBE) of NdEr2Te5 after structural relaxation.

Cell: 9.1747 9.1747 9.1747 Å, 127.36 127.36 77.66°
With the nearest neighbours (Å) after each atom.
Atoms (fractional coordinates):
Nd1 0.2500 0.2500 0.0000  10 Te 3.40-3.57
Nd2 0.7500 0.7500 0.0000  10 Te 3.40-3.57
Er1 0.1509 0.6509 0.8018  8 Te 3.04-3.27
Er2 0.3491 0.1509 0.5000  8 Te 3.04-3.27
Er3 0.6509 0.8491 0.5000  8 Te 3.04-3.27
Er4 0.8491 0.3491 0.1982  8 Te 3.04-3.27
Te1 0.0000 0.0000 0.0000  4 Er 3.09
Te2 0.0114 0.1955 0.5000  3 Er 3.04-3.27
Te3 0.1955 0.6955 0.1841  3 Er 3.04-3.27
Te4 0.3045 0.4886 0.5000  3 Er 3.04-3.27
Te5 0.4886 0.9886 0.1841  3 Er 3.04-3.27
Te6 0.5000 0.5000 0.0000  4 Er 3.09
Te7 0.5114 0.0114 0.8159  3 Er 3.04-3.27
Te8 0.6955 0.5114 0.5000  3 Er 3.04-3.27
Te9 0.8045 0.3045 0.8159  3 Er 3.04-3.27
Te10 0.9886 0.8045 0.5000  3 Er 3.04-3.27

Summary:
DFT total energy	-4.891	eV per atom
calculated volume	29.6	Å³ per atom

=====

# 10
The following is a DFT calculation (PBE) of Nd2ErTe3 after structural relaxation.

Cell: 7.7169 7.7169 7.7169 Å, 146.62 132.16 59.58°
With the nearest neighbours (Å) after each atom.
Atoms (fractional coordinates):
Nd1 0.1749 0.1749 0.0000  6 Te 3.14-3.22
Nd2 0.8251 0.8251 0.0000  6 Te 3.14-3.22
Er1 0.5000 0.5000 0.0000  6 Te 3.05-3.13
Te1 0.0000 0.5000 0.5000  2 Er 3.13, 4 Nd 3.22
Te2 0.3440 0.8440 0.5000  2 Er 3.05, 4 Nd 3.14-3.17
Te3 0.6560 0.1560 0.5000  2 Er 3.05, 4 Nd 3.14-3.17

Summary:
DFT total energy	-5.274	eV per atom
calculated volume	31.0	Å³ per atom

=====

For reference, energy relative to the elements, uncorrected by record: -1.324; -1.383; -1.324; -0.775; -1.252; -1.371; -0.418; -0.496; -1.190; -1.353 eV per atom.